A plane-wave DFT calculation with GGA-PBE was carried out for an optimized crystal structure of Co2C.

a = 4.957 Å, b = 4.957 Å, c = 4.315 Å
α = 90.00°, β = 90.00°, γ = 148.24°
Fractional coordinates of all 6 atoms:
Co: 0.055 0.945 0.750
Co: 0.208 0.792 0.250
Co: 0.792 0.208 0.750
Co: 0.945 0.055 0.250
C: 0.418 0.582 0.750
C: 0.582 0.418 0.250

Results
Space group = Cmcm, No. 63

***

A plane-wave DFT calculation with GGA-PBE was carried out for an optimized crystal structure of Co2C.

a = 3.361 Å, b = 3.361 Å, c = 4.806 Å
α = 90.00°, β = 90.00°, γ = 90.00°
Fractional coordinates of all 6 atoms:
Co: 0.250 0.250 0.088
Co: 0.250 0.750 0.500
Co: 0.750 0.250 0.500
Co: 0.750 0.750 0.912
C: 0.250 0.250 0.706
C: 0.750 0.750 0.294

Results
Space group = P4/nmm, No. 129

***

A plane-wave DFT calculation with GGA-PBE was carried out for an optimized crystal structure of CoC.

a = 5.204 Å, b = 5.204 Å, c = 3.047 Å
α = 90.00°, β = 90.00°, γ = 90.00°
Fractional coordinates of all 8 atoms:
Co: 0.175 0.175 0.000
Co: 0.325 0.675 0.500
Co: 0.675 0.325 0.500
Co: 0.825 0.825 0.000
C: 0.183 0.817 0.000
C: 0.317 0.317 0.500
C: 0.683 0.683 0.500
C: 0.817 0.183 0.000

Results
Space group = P4_2/mnm, No. 136

***

A plane-wave DFT calculation with GGA-PBE was carried out for an optimized crystal structure of Co4C.

a = 6.613 Å, b = 6.613 Å, c = 6.613 Å
α = 153.87°, β = 153.87°, γ = 37.29°
Fractional coordinates of all 5 atoms:
Co: 0.089 0.089 0.000
Co: 0.250 0.750 0.500
Co: 0.750 0.250 0.500
Co: 0.911 0.911 0.000
C: 0.500 0.500 0.000

Results
Space group = I4/mmm, No. 139

***

A plane-wave DFT calculation with GGA-PBE was carried out for an optimized crystal structure of Co5C3.

a = 5.929 Å, b = 5.929 Å, c = 5.584 Å
α = 98.41°, β = 98.41°, γ = 130.11°
Fractional coordinates of all 16 atoms:
Co: 0.000 0.000 0.000
Co: 0.024 0.370 0.782
Co: 0.147 0.485 0.238
Co: 0.370 0.024 0.782
Co: 0.485 0.147 0.238
Co: 0.501 0.501 0.014
Co: 0.524 0.744 0.657
Co: 0.744 0.524 0.657
Co: 0.758 0.991 0.342
Co: 0.991 0.758 0.342
C: 0.371 0.371 0.307
C: 0.397 0.903 0.458
C: 0.454 0.794 0.974
C: 0.794 0.454 0.974
C: 0.903 0.397 0.458
C: 0.953 0.953 0.648

Results
Space group = Cm, No. 8

***

A plane-wave DFT calculation with GGA-PBE was carried out for an optimized crystal structure of Co2C.

a = 5.168 Å, b = 3.368 Å, c = 5.924 Å
α = 90.00°, β = 90.00°, γ = 90.00°
Fractional coordinates of all 12 atoms:
Co: 0.033 0.250 0.151
Co: 0.133 0.250 0.584
Co: 0.367 0.750 0.084
Co: 0.467 0.750 0.651
Co: 0.533 0.250 0.349
Co: 0.633 0.250 0.916
Co: 0.867 0.750 0.416
Co: 0.967 0.750 0.849
C: 0.241 0.750 0.391
C: 0.259 0.250 0.891
C: 0.741 0.750 0.109
C: 0.759 0.250 0.609

Results
Space group = Pnma, No. 62

***

A plane-wave DFT calculation with GGA-PBE was carried out for an optimized crystal structure of Co2C.

a = 4.129 Å, b = 4.129 Å, c = 4.129 Å
α = 41.19°, β = 41.19°, γ = 41.19°
Fractional coordinates of all 3 atoms:
Co: 0.248 0.248 0.248
Co: 0.752 0.752 0.752
C: 0.500 0.500 0.500

Results
Space group = R-3m, No. 166

***

A plane-wave DFT calculation with GGA-PBE was carried out for an optimized crystal structure of CoC2.

a = 2.492 Å, b = 2.492 Å, c = 9.279 Å
α = 90.00°, β = 90.00°, γ = 120.00°
Fractional coordinates of all 6 atoms:
Co: 0.333 0.667 0.250
Co: 0.667 0.333 0.750
C: 0.333 0.667 0.009
C: 0.333 0.667 0.491
C: 0.667 0.333 0.509
C: 0.667 0.333 0.991

Results
Space group = P6_3/mmc, No. 194

***

Computed formation enthalpy at 0 K (eV per atom) in order:
0.487 0.331 0.739 1.184 0.428 0.300 0.190 0.540
Computed final energy (eV/atom) in order:
-7.324 -7.481 -7.426 -6.345 -7.472 -7.511 -7.622 -7.978